1.
CaCoAs2: relaxed, PBE.

```
data_CaCoAs2
_space_group_name_H-M_alt 'P 4/m m m'
_space_group_IT_number 123
_space_group_name_Hall '-P 4 2'
_cell_length_a 3.301
_cell_length_b 3.301
_cell_length_c 6.622
_cell_angle_alpha 90.00
_cell_angle_beta 90.00
_cell_angle_gamma 90.00
loop_
_atom_site_label
_atom_site_fract_x
_atom_site_fract_y
_atom_site_fract_z
Ca1 0.000 0.000 0.000
Co1 0.000 0.000 0.500
As1 0.500 0.500 0.307
```

***

2.
CaCoAs2: relaxed, PBE.

```
data_CaCoAs2
_space_group_name_H-M_alt 'R 3 m'
_space_group_IT_number 160
_space_group_name_Hall 'R 3 -2"'
_cell_length_a 3.4653
_cell_length_b 3.4653
_cell_length_c 25.0179
_cell_angle_alpha 90.00
_cell_angle_beta 90.00
_cell_angle_gamma 120.00
loop_
_atom_site_label
_atom_site_fract_x
_atom_site_fract_y
_atom_site_fract_z
Ca1 0.0000 0.0000 0.0000
Co1 0.0000 0.0000 0.2435
As1 0.0000 0.0000 0.5368
As2 0.0000 0.0000 0.7581
```

***

no.,volume (A^3/atom),total magnetization (μB per atom),energy of formation (eV per atom)
1,18.0,0.250,-0.20
2,21.7,0.000,0.07